# 1
A relaxed Tc4PbSe crystal, computed with PBE-GGA.

The structure in extended XYZ format:
```
6
Lattice="-5.244 0.587 0.282 -2.330 4.109 -2.368 -2.979 -0.767 -4.296" Properties=species:S:1:pos:R:3 pbc="T T T"
Tc -6.596 1.764 -2.241
Tc -5.449 1.078 -4.559
Tc -5.120 3.548 -3.582
Tc -3.941 1.467 -2.383
Pb -7.915 2.947 -4.787
Se 0.000 0.000 0.000
```

Output
crystal system	cubic
density of states at the Fermi level	7.13	states/eV per cell
magnetic moment	0.000	μB/atom
formation energy without anion corrections	70	kJ/mol of atoms
total energy	-7.3858	eV per atom

# 2
A relaxed InCoW2 crystal, computed with PBE-GGA.

The structure in extended XYZ format:
```
8
Lattice="-2.387 -2.092 1.958 0.697 -2.896 -2.244 6.486 -5.317 5.777" Properties=species:S:1:pos:R:3 pbc="T T T"
Co -0.845 -2.494 -0.143
Co 3.169 -5.353 1.695
W 0.227 -2.990 2.379
W 1.749 -3.409 0.294
W 4.234 -5.870 4.216
W 3.383 -8.340 4.091
In 0.000 0.000 0.000
In 1.627 -4.952 3.796
```

Output
crystal system	tetragonal
density of states at the Fermi level	7.55	states/eV per cell
magnetic moment	0.000	μB/atom
energy relative to the elements	86	kJ per mole of atoms
total energy	-8.0419	eV per atom

# 3
A relaxed CdInSi2 crystal, computed with PBE-GGA.

The structure in extended XYZ format:
```
4
Lattice="0.000 3.455 3.455 3.455 0.000 3.455 3.455 3.455 0.000" Properties=species:S:1:pos:R:3 pbc="T T T"
Si 1.728 1.728 1.728
Si 5.183 5.183 5.183
Cd 0.000 0.000 0.000
In 3.455 3.455 3.455
```

Output
crystal system	cubic
density of states at the Fermi level	1.76	states/eV per cell
magnetic moment	0.000	μB/atom
formation energy without anion corrections	51	kJ/mol of atoms
total energy	-3.0928	eV per atom

# 4
A relaxed La2NdTh crystal, computed with PBE-GGA.

The structure in extended XYZ format:
```
4
Lattice="5.848 0.000 0.000 2.924 5.065 0.000 2.924 1.688 4.775" Properties=species:S:1:pos:R:3 pbc="T T T"
Nd 5.848 3.376 2.388
Th 0.000 0.000 0.000
La 2.924 1.688 1.194
La 8.772 5.065 3.581
```

Output
crystal system	cubic
density of states at the Fermi level	12.23	states/eV per cell
magnetic moment	0.224	μB/atom
energy relative to the elements	19	kJ per mole of atoms
total energy	-5.3087	eV per atom

# 5
A relaxed La2CeAu4 crystal, computed with PBE-GGA.

The structure in extended XYZ format:
```
7
Lattice="5.193 0.000 -1.655 -0.528 5.166 -1.655 -0.450 -0.498 7.563" Properties=species:S:1:pos:R:3 pbc="T T T"
Au 1.187 4.189 3.723
Au 4.047 1.606 3.723
Au 3.029 0.479 0.529
Au 0.169 3.062 0.529
Ce 0.000 0.000 0.000
La 3.149 3.487 0.904
La 1.067 1.182 3.348
```

Output
crystal system	tetragonal
density of states at the Fermi level	13.65	states/eV per cell
magnetic moment	0.214	μB/atom
energy relative to the elements	-59	kJ per mole of atoms
total energy	-4.7411	eV per atom

# 6
A relaxed Y4FeIr crystal, computed with PBE-GGA.

The structure in extended XYZ format:
```
6
Lattice="-0.338 -5.933 0.105 -4.406 -2.673 2.962 -4.324 -2.783 -2.980" Properties=species:S:1:pos:R:3 pbc="T T T"
Y -3.564 -7.247 0.085
Y -5.568 -5.663 -1.467
Y -5.609 -5.607 1.522
Y -3.394 -4.263 0.032
Fe -6.801 -8.542 0.065
Ir 0.000 0.000 0.000
```

Output
crystal system	cubic
density of states at the Fermi level	10.85	states/eV per cell
magnetic moment	0.343	μB/atom
energy relative to the elements	86	kJ per mole of atoms
total energy	-6.3012	eV per atom

# 7
A relaxed SrCdRe2 crystal, computed with PBE-GGA.

The structure in extended XYZ format:
```
4
Lattice="-1.681 1.472 1.661 -0.612 -2.639 0.643 7.156 0.088 7.166" Properties=species:S:1:pos:R:3 pbc="T T T"
Cd 4.221 -0.517 6.527
Re 7.031 0.086 7.041
Re 3.703 0.045 3.708
Sr 0.643 -0.561 2.944
```

Output
crystal system	orthorhombic
density of states at the Fermi level	1.89	states/eV per cell
magnetic moment	0.000	μB/atom
energy relative to the elements	98	kJ per mole of atoms
total energy	-5.8549	eV per atom

# 8
A relaxed UCoRe2 crystal, computed with PBE-GGA.

The structure in extended XYZ format:
```
4
Lattice="-1.155 -0.592 -2.436 -1.037 -2.516 -0.461 -9.301 1.884 2.386" Properties=species:S:1:pos:R:3 pbc="T T T"
Re -6.843 1.046 1.425
Re -4.650 -2.271 -1.935
U 0.000 0.000 0.000
Co -5.747 -0.612 -0.255
```

Output
crystal system	trigonal
density of states at the Fermi level	7.89	states/eV per cell
magnetic moment	0.294	μB/atom
energy relative to the elements	60	kJ per mole of atoms
total energy	-10.2028	eV per atom